# 1
YVC2 (PBE-GGA, relaxed); space-group type = I-42d, No. 122; electronic total energy = -8.5151 eV/atom; total magnetic moment = 0.0 μB/f.u.
1.0
-4.043 3.547 -1.535
-3.255 -1.927 4.120
-2.310 3.296 3.513
Y C V
2 4 2
Direct
0.750 0.250 0.500
0.000 0.000 0.000
0.875 0.802 0.750
0.375 0.448 0.750
0.198 0.625 0.250
0.552 0.125 0.250
0.500 0.500 0.000
0.250 0.750 0.500

---

# 2
Er2ThZn2In2 (PBE-GGA, relaxed); space-group type = R-3m, No. 166; electronic total energy = -3.7214 eV/atom; total magnetic moment = 0.0 μB/f.u.
1.0
4.667 0.000 0.000
2.334 4.042 0.000
2.334 1.347 9.417
Th In Er Zn
1 2 2 2
Direct
0.000 0.000 0.000
0.257 0.257 0.230
0.743 0.743 0.770
0.871 0.871 0.387
0.129 0.129 0.613
0.396 0.396 0.812
0.604 0.604 0.188

---

> Among the records above, which one has the highest electronic total energy?

Er2ThZn2In2

---

> Among the records above, which one has the highest electronic total energy?

Er2ThZn2In2

---

> What is the formula in the second record?

Er2ThZn2In2

---

> Which value of electronic total energy does entry 1 give?

-8.5151 eV/atom